[1]
## ScRu3F (meta-GGA SCAN)

Data for a crystal of ScRu3F relaxed with PBEsol.

For the total magnetization, the calculation gives 5.75 μB/cell. The value obtained for the uncorrected formation energy is 1713 meV per atom.

The structure belongs to space group Pm-3m (No. 221); the cell edges are 4.6236, 4.6236 and 4.6236 Å and the angles 90.00°, 90.00° and 90.00°. The asymmetric unit holds Sc at (0.0000, 0.0000, 0.0000), Ru at (0.0000, 0.0000, 0.5000) and F at (0.5000, 0.5000, 0.5000).


[2]
## ScTlRuF2 (meta-GGA SCAN)

Data for a crystal of ScTlRuF2 relaxed with PBEsol.

For the total magnetization, the calculation gives 0.00 μB/cell. The value obtained for the uncorrected formation energy is -859 meV per atom.

The structure belongs to space group P4/mmm (No. 123); the cell edges are 4.1966, 4.1966 and 4.9287 Å and the angles 90.00°, 90.00° and 90.00°. The asymmetric unit holds Sc at (0.0000, 0.0000, 0.0000), Tl at (0.5000, 0.5000, 0.0000), Ru at (0.0000, 0.0000, 0.5000) and F at (0.0000, 0.5000, 0.5000).


[3]
## Y2ScRuF (meta-GGA SCAN)

Data for a crystal of Y2ScRuF relaxed with PBEsol.

For the total magnetization, the calculation gives 0.00 μB/cell. The value obtained for the uncorrected formation energy is 381 meV per atom.

The structure belongs to space group P4/mmm (No. 123); the cell edges are 5.6443, 5.6443 and 4.2643 Å and the angles 90.00°, 90.00° and 90.00°. The asymmetric unit holds Y at (0.0000, 0.5000, 0.0000), Sc at (0.0000, 0.0000, 0.0000), Ru at (0.0000, 0.0000, 0.5000) and F at (0.5000, 0.5000, 0.5000).


[4]
## SiRuF2 (meta-GGA SCAN)

Data for a crystal of SiRuF2 relaxed with PBEsol.

For the total magnetization, the calculation gives 0.00 μB/cell. The value obtained for the uncorrected formation energy is -585 meV per atom.

The structure belongs to space group I-42d (No. 122); the cell edges are 6.8053, 6.8053 and 4.5738 Å and the angles 90.00°, 90.00° and 90.00°. The asymmetric unit holds Si at (0.0000, 0.0000, 0.0000), Ru at (0.0000, 0.0000, 0.5000) and F at (0.1633, 0.2500, 0.6250).


[5]
## SrRuWF2 (meta-GGA SCAN)

Data for a crystal of SrRuWF2 relaxed with PBEsol.

For the total magnetization, the calculation gives 1.04 μB/cell. The value obtained for the uncorrected formation energy is -181 meV per atom.

The structure belongs to space group P4/mmm (No. 123); the cell edges are 4.1744, 4.1744 and 6.7041 Å and the angles 90.00°, 90.00° and 90.00°. The asymmetric unit holds Sr at (0.0000, 0.0000, 0.0000), Ru at (0.0000, 0.0000, 0.5000), W at (0.5000, 0.5000, 0.5000) and F at (0.0000, 0.5000, 0.0000).


[6]
## Tl2RuF (meta-GGA SCAN)

Data for a crystal of Tl2RuF relaxed with PBEsol.

For the total magnetization, the calculation gives 0.00 μB/cell. The value obtained for the uncorrected formation energy is 46 meV per atom.

The structure belongs to space group Fm-3m (No. 225); the cell edges are 6.5436, 6.5436 and 6.5436 Å and the angles 90.00°, 90.00° and 90.00°. The asymmetric unit holds Tl at (0.2500, 0.2500, 0.2500), Ru at (0.0000, 0.0000, 0.0000) and F at (0.0000, 0.0000, 0.5000).


[7]
## ZrTlRu2F (meta-GGA SCAN)

Data for a crystal of ZrTlRu2F relaxed with PBEsol.

For the total magnetization, the calculation gives 2.69 μB/cell. The value obtained for the uncorrected formation energy is 1668 meV per atom.

The structure belongs to space group P4/mmm (No. 123); the cell edges are 4.8942, 4.8942 and 5.3796 Å and the angles 90.00°, 90.00° and 90.00°. The asymmetric unit holds Zr at (0.0000, 0.0000, 0.0000), Tl at (0.0000, 0.0000, 0.5000), Ru at (0.0000, 0.5000, 0.5000) and F at (0.5000, 0.5000, 0.0000).


[8]
## Zn2RuWF (meta-GGA SCAN)

Data for a crystal of Zn2RuWF relaxed with PBEsol.

For the total magnetization, the calculation gives 1.53 μB/cell. The value obtained for the uncorrected formation energy is 796 meV per atom.

The structure belongs to space group P4/mmm (No. 123); the cell edges are 4.7534, 4.7534 and 4.5676 Å and the angles 90.00°, 90.00° and 90.00°. The asymmetric unit holds Zn at (0.0000, 0.5000, 0.0000), Ru at (0.0000, 0.0000, 0.0000), W at (0.0000, 0.0000, 0.5000) and F at (0.5000, 0.5000, 0.5000).


[9]
## ZnRuF2 (meta-GGA SCAN)

Data for a crystal of ZnRuF2 relaxed with PBEsol.

For the total magnetization, the calculation gives 11.51 μB/cell. The value obtained for the uncorrected formation energy is -590 meV per atom.

The structure belongs to space group Fm-3m (No. 225); the cell edges are 5.7671, 5.7671 and 5.7671 Å and the angles 90.00°, 90.00° and 90.00°. The asymmetric unit holds Zn at (0.0000, 0.0000, 0.0000), Ru at (0.0000, 0.0000, 0.5000) and F at (0.2500, 0.2500, 0.2500).


[10]
## ZnRu2F (meta-GGA SCAN)

Data for a crystal of ZnRu2F relaxed with PBEsol.

For the total magnetization, the calculation gives 16.01 μB/cell. The value obtained for the uncorrected formation energy is 327 meV per atom.

The structure belongs to space group Fm-3m (No. 225); the cell edges are 5.9052, 5.9052 and 5.9052 Å and the angles 90.00°, 90.00° and 90.00°. The asymmetric unit holds Zn at (0.0000, 0.0000, 0.0000), Ru at (0.2500, 0.2500, 0.2500) and F at (0.0000, 0.0000, 0.5000).


[11]
## ZrRu2F (meta-GGA SCAN)

Data for a crystal of ZrRu2F relaxed with PBEsol.

For the total magnetization, the calculation gives 3.34 μB/cell. The value obtained for the uncorrected formation energy is 77 meV per atom.

The structure belongs to space group Fm-3m (No. 225); the cell edges are 6.1329, 6.1329 and 6.1329 Å and the angles 90.00°, 90.00° and 90.00°. The asymmetric unit holds Zr at (0.0000, 0.0000, 0.0000), Ru at (0.2500, 0.2500, 0.2500) and F at (0.0000, 0.0000, 0.5000).


[12]
## SbSF2 (meta-GGA SCAN)

Data for a crystal of SbSF2 relaxed with PBEsol.

For the total magnetization, the calculation gives 3.93 μB/cell. The value obtained for the uncorrected formation energy is -998 meV per atom.

The structure belongs to space group I-42d (No. 122); the cell edges are 3.9783, 3.9783 and 15.7631 Å and the angles 90.00°, 90.00° and 90.00°. The asymmetric unit holds Sb at (0.0000, 0.0000, 0.0000), S at (0.0000, 0.0000, 0.5000) and F at (0.1809, 0.2500, 0.1250).


[13]
## ScSF2 (meta-GGA SCAN)

Data for a crystal of ScSF2 relaxed with PBEsol.

For the total magnetization, the calculation gives 3.78 μB/cell. The value obtained for the uncorrected formation energy is -1924 meV per atom.

The structure belongs to space group Fm-3m (No. 225); the cell edges are 5.8175, 5.8175 and 5.8175 Å and the angles 90.00°, 90.00° and 90.00°. The asymmetric unit holds Sc at (0.0000, 0.0000, 0.0000), S at (0.0000, 0.0000, 0.5000) and F at (0.2500, 0.2500, 0.2500).


[14]
## Sc3SF (meta-GGA SCAN)

Data for a crystal of Sc3SF relaxed with PBEsol.

For the total magnetization, the calculation gives 0.00 μB/cell. The value obtained for the uncorrected formation energy is -905 meV per atom.

The structure belongs to space group Pm-3m (No. 221); the cell edges are 4.3048, 4.3048 and 4.3048 Å and the angles 90.00°, 90.00° and 90.00°. The asymmetric unit holds Sc at (0.0000, 0.0000, 0.5000), S at (0.5000, 0.5000, 0.5000) and F at (0.0000, 0.0000, 0.0000).


[15]
## Se3SF (meta-GGA SCAN)

Data for a crystal of Se3SF relaxed with PBEsol.

For the total magnetization, the calculation gives 0.00 μB/cell. The value obtained for the uncorrected formation energy is 630 meV per atom.

The structure belongs to space group Pm-3m (No. 221); the cell edges are 4.7326, 4.7326 and 4.7326 Å and the angles 90.00°, 90.00° and 90.00°. The asymmetric unit holds Se at (0.0000, 0.0000, 0.5000), S at (0.0000, 0.0000, 0.0000) and F at (0.5000, 0.5000, 0.5000).


[16]
## SiSF2 (meta-GGA SCAN)

Data for a crystal of SiSF2 relaxed with PBEsol.

For the total magnetization, the calculation gives 0.93 μB/cell. The value obtained for the uncorrected formation energy is -1204 meV per atom.

The structure belongs to space group R-3m (No. 166, hexagonal axes); the cell edges are 2.6178, 2.6178 and 28.7288 Å and the angles 90.00°, 90.00° and 120.00°. The asymmetric unit holds Si at (0.0000, 0.0000, 0.0000), S at (0.0000, 0.0000, 0.5000) and F at (0.0000, 0.0000, 0.0566).


[17]
## SmSF (meta-GGA SCAN)

Data for a crystal of SmSF relaxed with PBEsol.

For the total magnetization, the calculation gives 0.00 μB/cell. The value obtained for the uncorrected formation energy is -3345 meV per atom.

The structure belongs to space group P4/nmm (No. 129, origin choice 2); the cell edges are 3.8314, 3.8314 and 6.8320 Å and the angles 90.00°, 90.00° and 90.00°. The asymmetric unit holds Sm at (0.2500, 0.2500, 0.2278), S at (0.2500, 0.2500, 0.6449) and F at (0.2500, 0.7500, 0.0000).


[18]
## Sn4SF6 (meta-GGA SCAN)

Data for a crystal of Sn4SF6 relaxed with PBEsol.

For the total magnetization, the calculation gives 0.00 μB/cell. The value obtained for the uncorrected formation energy is -1913 meV per atom.

The structure belongs to space group Cmc2_1 (No. 36); the cell edges are 8.4414, 12.0377 and 8.7293 Å and the angles 90.00°, 90.00° and 90.00°. The asymmetric unit holds Sn at (0.0000, 0.1441, 0.0000), Sn at (0.0000, 0.3285, 0.5841), Sn at (0.2256, 0.4176, 0.1016), S at (0.0000, 0.3376, 0.8782), F at (0.0000, 0.1521, 0.5452), F at (0.0000, 0.3833, 0.2222), F at (0.1791, 0.0915, 0.8339) and F at (0.2463, 0.2391, 0.1153).


[19]
## Sn4SF6 (meta-GGA SCAN)

Data for a crystal of Sn4SF6 relaxed with PBEsol.

For the total magnetization, the calculation gives 0.00 μB/cell. The value obtained for the uncorrected formation energy is -1917 meV per atom.

The structure belongs to space group R3 (No. 146, hexagonal axes); the cell edges are 8.5969, 8.5969 and 9.5135 Å and the angles 90.00°, 90.00° and 120.00°. The asymmetric unit holds Sn at (0.0000, 0.0000, 0.0000), Sn at (0.0027, 0.5087, 0.9828), S at (0.0000, 0.0000, 0.5590), F at (0.0151, 0.2912, 0.0767) and F at (0.1569, 0.7046, 0.5219).


[20]
## Sr2SnS3F2 (meta-GGA SCAN)

Data for a crystal of Sr2SnS3F2 relaxed with PBEsol.

For the total magnetization, the calculation gives 0.00 μB/cell. The value obtained for the uncorrected formation energy is -2387 meV per atom.

The structure belongs to space group Pnma (No. 62); the cell edges are 5.8982, 18.7831 and 5.8899 Å and the angles 90.00°, 90.00° and 90.00°. The asymmetric unit holds Sr at (0.2464, 0.0739, 0.0031), Sn at (0.1534, 0.7500, 0.9277), S at (0.2413, 0.7500, 0.5165), S at (0.2423, 0.1321, 0.5127) and F at (0.0010, 0.0005, 0.7472).


[21]
## Sr2YSF (meta-GGA SCAN)

Data for a crystal of Sr2YSF relaxed with PBEsol.

For the total magnetization, the calculation gives 0.01 μB/cell. The value obtained for the uncorrected formation energy is -996 meV per atom.

The structure belongs to space group P4/mmm (No. 123); the cell edges are 5.8533, 5.8533 and 5.0179 Å and the angles 90.00°, 90.00° and 90.00°. The asymmetric unit holds Sr at (0.0000, 0.5000, 0.0000), Y at (0.0000, 0.0000, 0.5000), S at (0.0000, 0.0000, 0.0000) and F at (0.5000, 0.5000, 0.5000).


[22]
## TaS2F (meta-GGA SCAN)

Data for a crystal of TaS2F relaxed with PBEsol.

For the total magnetization, the calculation gives 0.00 μB/cell. The value obtained for the uncorrected formation energy is -999 meV per atom.

The structure belongs to space group R-3m (No. 166, hexagonal axes); the cell edges are 3.3400, 3.3400 and 21.5399 Å and the angles 90.00°, 90.00° and 120.00°. The asymmetric unit holds Ta at (0.0000, 0.0000, 0.0000), S at (0.0000, 0.0000, 0.4032) and F at (0.0000, 0.0000, 0.5000).


[23]
## TbSF (meta-GGA SCAN)

Data for a crystal of TbSF relaxed with PBEsol.

For the total magnetization, the calculation gives 0.00 μB/cell. The value obtained for the uncorrected formation energy is -3329 meV per atom.

The structure belongs to space group P4/nmm (No. 129, origin choice 2); the cell edges are 3.7483, 3.7483 and 6.7676 Å and the angles 90.00°, 90.00° and 90.00°. The asymmetric unit holds Tb at (0.2500, 0.2500, 0.2270), S at (0.2500, 0.2500, 0.6432) and F at (0.2500, 0.7500, 0.0000).


[24]
## TcS2F (meta-GGA SCAN)

Data for a crystal of TcS2F relaxed with PBEsol.

For the total magnetization, the calculation gives 0.00 μB/cell. The value obtained for the uncorrected formation energy is 441 meV per atom.

The structure belongs to space group R-3m (No. 166, hexagonal axes); the cell edges are 2.6798, 2.6798 and 25.6139 Å and the angles 90.00°, 90.00° and 120.00°. The asymmetric unit holds Tc at (0.0000, 0.0000, 0.0000), S at (0.0000, 0.0000, 0.0904) and F at (0.0000, 0.0000, 0.5000).


[25]
## TcS2F (meta-GGA SCAN)

Data for a crystal of TcS2F relaxed with PBEsol.

For the total magnetization, the calculation gives 0.00 μB/cell. The value obtained for the uncorrected formation energy is -388 meV per atom.

The structure belongs to space group I-42d (No. 122); the cell edges are 5.6756, 5.6756 and 9.3470 Å and the angles 90.00°, 90.00° and 90.00°. The asymmetric unit holds Tc at (0.0000, 0.0000, 0.0000), S at (0.2063, 0.2500, 0.1250) and F at (0.0000, 0.0000, 0.5000).


[26]
## TeSF2 (meta-GGA SCAN)

Data for a crystal of TeSF2 relaxed with PBEsol.

For the total magnetization, the calculation gives 0.95 μB/cell. The value obtained for the uncorrected formation energy is -690 meV per atom.

The structure belongs to space group I-42d (No. 122); the cell edges are 3.9396, 3.9396 and 15.7712 Å and the angles 90.00°, 90.00° and 90.00°. The asymmetric unit holds Te at (0.0000, 0.0000, 0.0000), S at (0.0000, 0.0000, 0.5000) and F at (0.1661, 0.2500, 0.1250).